Entry 1:
# PBE-GGA Pm2Be3Si4Au, relaxed
data_Pm2Be3Si4Au
_cell_length_a 4.0383
_cell_length_b 4.0383
_cell_length_c 9.9135
_cell_angle_alpha 90.00
_cell_angle_beta 90.00
_cell_angle_gamma 90.00
_symmetry_space_group_name_H-M 'P -4 m 2'
_symmetry_Int_Tables_number 115
loop_
_symmetry_equiv_pos_as_xyz
'x,y,z'
'y,-x,-z'
'-x,-y,z'
'-y,x,-z'
'-x,y,z'
'-y,-x,-z'
'x,-y,z'
'y,x,-z'
loop_
_atom_site_label
_atom_site_type_symbol
_atom_site_fract_x
_atom_site_fract_y
_atom_site_fract_z
Pm1 Pm 0.0000 0.5000 0.2395
Be1 Be 0.0000 0.5000 0.8766
Be2 Be 0.5000 0.5000 0.5000
Si1 Si 0.0000 0.0000 0.0000
Si2 Si 0.0000 0.5000 0.6478
Si3 Si 0.5000 0.5000 0.0000
Au1 Au 0.0000 0.0000 0.5000
# ΔE_f (raw): -416 meV per atom

Entry 2:
# PBE-GGA Pm2Be4Si3Au, relaxed
data_Pm2Be4Si3Au
_cell_length_a 3.9518
_cell_length_b 3.9518
_cell_length_c 9.8807
_cell_angle_alpha 90.00
_cell_angle_beta 90.00
_cell_angle_gamma 90.00
_symmetry_space_group_name_H-M 'P -4 m 2'
_symmetry_Int_Tables_number 115
loop_
_symmetry_equiv_pos_as_xyz
'x,y,z'
'y,-x,-z'
'-x,-y,z'
'-y,x,-z'
'-x,y,z'
'-y,-x,-z'
'x,-y,z'
'y,x,-z'
loop_
_atom_site_label
_atom_site_type_symbol
_atom_site_fract_x
_atom_site_fract_y
_atom_site_fract_z
Pm1 Pm 0.0000 0.5000 0.2416
Be1 Be 0.0000 0.0000 0.0000
Be2 Be 0.0000 0.5000 0.6367
Be3 Be 0.5000 0.5000 0.0000
Si1 Si 0.0000 0.5000 0.8701
Si2 Si 0.5000 0.5000 0.5000
Au1 Au 0.0000 0.0000 0.5000
# ΔE_f (raw): -464 meV per atom

Entry 3:
# PBE-GGA Pm2BeSnAu6, relaxed
data_Pm2BeSnAu6
_cell_length_a 5.5229
_cell_length_b 6.9090
_cell_length_c 6.9326
_cell_angle_alpha 85.79
_cell_angle_beta 66.87
_cell_angle_gamma 66.57
_symmetry_space_group_name_H-M 'P -1'
_symmetry_Int_Tables_number 2
loop_
_symmetry_equiv_pos_as_xyz
'x,y,z'
'-x,-y,-z'
loop_
_atom_site_label
_atom_site_type_symbol
_atom_site_fract_x
_atom_site_fract_y
_atom_site_fract_z
Pm1 Pm 0.0218 0.2500 0.2042
Be1 Be 0.5000 0.0000 0.5000
Sn1 Sn 0.5000 0.5000 0.0000
Au1 Au 0.0355 0.1763 0.7498
Au2 Au 0.3508 0.3809 0.4174
Au3 Au 0.4656 0.8253 0.2456
# ΔE_f: -0.45 eV per atom

Entry 4:
# PBE-GGA PmTmBeAu, relaxed
data_PmTmBeAu
_cell_length_a 7.1148
_cell_length_b 7.1148
_cell_length_c 7.1148
_cell_angle_alpha 90.00
_cell_angle_beta 90.00
_cell_angle_gamma 90.00
_symmetry_space_group_name_H-M 'F -4 3 m'
_symmetry_Int_Tables_number 216
_symmetry_space_group_name_Hall 'F -4 2 3'
loop_
_atom_site_label
_atom_site_type_symbol
_atom_site_fract_x
_atom_site_fract_y
_atom_site_fract_z
Pm1 Pm 0.0000 0.0000 0.0000
Tm1 Tm 0.0000 0.0000 0.5000
Be1 Be 0.2500 0.2500 0.7500
Au1 Au 0.2500 0.2500 0.2500
# ΔE_f: -0.30 eV per atom

Entry 5:
# PBE-GGA PmYBeAu, relaxed
data_PmYBeAu
_cell_length_a 7.1733
_cell_length_b 7.1733
_cell_length_c 7.1733
_cell_angle_alpha 90.00
_cell_angle_beta 90.00
_cell_angle_gamma 90.00
_symmetry_space_group_name_H-M 'F -4 3 m'
_symmetry_Int_Tables_number 216
_symmetry_space_group_name_Hall 'F -4 2 3'
loop_
_atom_site_label
_atom_site_type_symbol
_atom_site_fract_x
_atom_site_fract_y
_atom_site_fract_z
Pm1 Pm 0.0000 0.0000 0.0000
Y1 Y 0.0000 0.0000 0.5000
Be1 Be 0.2500 0.2500 0.7500
Au1 Au 0.2500 0.2500 0.2500
# ΔE_f: -0.29 eV per atom

Entry 6:
# PBE-GGA PmBe2ZnAu4, relaxed
data_PmBe2ZnAu4
_cell_length_a 4.2260
_cell_length_b 4.2260
_cell_length_c 27.4338
_cell_angle_alpha 90.00
_cell_angle_beta 90.00
_cell_angle_gamma 120.00
_symmetry_space_group_name_H-M 'R -3 m'
_symmetry_Int_Tables_number 166
_symmetry_space_group_name_Hall '-R 3 2"'
loop_
_atom_site_label
_atom_site_type_symbol
_atom_site_fract_x
_atom_site_fract_y
_atom_site_fract_z
Pm1 Pm 0.0000 0.0000 0.0000
Be1 Be 0.0000 0.0000 0.2410
Zn1 Zn 0.0000 0.0000 0.5000
Au1 Au 0.0000 0.0000 0.1265
Au2 Au 0.0000 0.0000 0.4014
# ΔE_f: -0.29 eV per atom

Entry 7:
# PBE-GGA PmBeZn2Au4, relaxed
data_PmBeZn2Au4
_cell_length_a 4.4720
_cell_length_b 4.4720
_cell_length_c 25.1084
_cell_angle_alpha 90.00
_cell_angle_beta 90.00
_cell_angle_gamma 120.00
_symmetry_space_group_name_H-M 'R -3 m'
_symmetry_Int_Tables_number 166
_symmetry_space_group_name_Hall '-R 3 2"'
loop_
_atom_site_label
_atom_site_type_symbol
_atom_site_fract_x
_atom_site_fract_y
_atom_site_fract_z
Pm1 Pm 0.0000 0.0000 0.0000
Be1 Be 0.0000 0.0000 0.5000
Zn1 Zn 0.0000 0.0000 0.2461
Au1 Au 0.0000 0.0000 0.1360
Au2 Au 0.0000 0.0000 0.4030
# ΔE_f: -0.37 eV per atom

Entry 8:
# PBE-GGA Pr2Be3Au9, relaxed
data_Pr2Be3Au9
_cell_length_a 13.7002
_cell_length_b 7.7849
_cell_length_c 10.6528
_cell_angle_alpha 90.00
_cell_angle_beta 115.29
_cell_angle_gamma 90.00
_symmetry_space_group_name_H-M 'C 1 2/c 1'
_symmetry_Int_Tables_number 15
loop_
_symmetry_equiv_pos_as_xyz
'x,y,z'
'-x,-y,-z'
'-x,y,-z+1/2'
'x,-y,z+1/2'
'x+1/2,y+1/2,z'
'-x+1/2,-y+1/2,-z'
'-x+1/2,y+1/2,-z+1/2'
'x+1/2,-y+1/2,z+1/2'
loop_
_atom_site_label
_atom_site_type_symbol
_atom_site_fract_x
_atom_site_fract_y
_atom_site_fract_z
Pr1 Pr 0.1715 0.0825 0.2486
Be1 Be 0.0899 0.2309 0.4963
Be2 Be 0.2500 0.2500 0.0000
Au1 Au 0.0000 0.3484 0.2500
Au2 Au 0.0624 0.0738 0.9293
Au3 Au 0.1010 0.4078 0.0530
Au4 Au 0.1079 0.3068 0.7383
Au5 Au 0.2245 0.4195 0.4348
# ΔE_f: -0.40 eV per atom

Entry 9:
# PBE-GGA Pr2Be7Au12, relaxed
data_Pr2Be7Au12
_cell_length_a 9.8552
_cell_length_b 9.8552
_cell_length_c 4.1375
_cell_angle_alpha 90.00
_cell_angle_beta 90.00
_cell_angle_gamma 120.00
_symmetry_space_group_name_H-M 'P -3'
_symmetry_Int_Tables_number 147
loop_
_symmetry_equiv_pos_as_xyz
'x,y,z'
'-x,-y,-z'
'-y,x-y,z'
'y,-x+y,-z'
'-x+y,-x,z'
'x-y,x,-z'
loop_
_atom_site_label
_atom_site_type_symbol
_atom_site_fract_x
_atom_site_fract_y
_atom_site_fract_z
Pr1 Pr 0.3333 0.6667 0.2520
Be1 Be 0.0000 0.0000 0.0000
Be2 Be 0.1084 0.3943 0.7522
Au1 Au 0.0754 0.6203 0.7497
Au2 Au 0.1190 0.8612 0.2539
# ΔE_f: -0.30 eV per atom

Entry 10:
# PBE-GGA PrBe4Au8, relaxed
data_PrBe4Au8
_cell_length_a 8.9925
_cell_length_b 8.9925
_cell_length_c 5.2461
_cell_angle_alpha 90.00
_cell_angle_beta 90.00
_cell_angle_gamma 90.00
_symmetry_space_group_name_H-M 'I 4/m m m'
_symmetry_Int_Tables_number 139
_symmetry_space_group_name_Hall '-I 4 2'
loop_
_atom_site_label
_atom_site_type_symbol
_atom_site_fract_x
_atom_site_fract_y
_atom_site_fract_z
Pr1 Pr 0.0000 0.0000 0.0000
Be1 Be 0.2500 0.2500 0.2500
Au1 Au 0.0000 0.2220 0.5000
Au2 Au 0.0000 0.3337 0.0000
# ΔE_f: -0.25 eV per atom

Entry 11:
# PBE-GGA PrBe2Au6, relaxed
data_PrBe2Au6
_cell_length_a 5.9083
_cell_length_b 5.9083
_cell_length_c 6.0690
_cell_angle_alpha 90.00
_cell_angle_beta 90.00
_cell_angle_gamma 120.00
_symmetry_space_group_name_H-M 'P 6/m m m'
_symmetry_Int_Tables_number 191
_symmetry_space_group_name_Hall '-P 6 2'
loop_
_atom_site_label
_atom_site_type_symbol
_atom_site_fract_x
_atom_site_fract_y
_atom_site_fract_z
Pr1 Pr 0.0000 0.0000 0.0000
Be1 Be 0.3333 0.6667 0.5000
Au1 Au 0.0000 0.5000 0.2389
# ΔE_f: -0.27 eV per atom

Entry 12:
# PBE-GGA PrBe3Au10, relaxed
data_PrBe3Au10
_cell_length_a 12.5067
_cell_length_b 12.5067
_cell_length_c 12.5067
_cell_angle_alpha 90.00
_cell_angle_beta 90.00
_cell_angle_gamma 90.00
_symmetry_space_group_name_H-M 'F m -3 m'
_symmetry_Int_Tables_number 225
_symmetry_space_group_name_Hall '-F 4 2 3'
loop_
_atom_site_label
_atom_site_type_symbol
_atom_site_fract_x
_atom_site_fract_y
_atom_site_fract_z
Pr1 Pr 0.2500 0.2500 0.2500
Be1 Be 0.0000 0.0000 0.2371
Au1 Au 0.0000 0.1693 0.3307
Au2 Au 0.1123 0.1123 0.1123
# ΔE_f: -0.27 eV per atom

Raw total energy / eV for the cell shown: -49.8 -48.6 -41.4 -69.7 -77.6 -86.7 -81.4 -223.1 -81.4 -98.4 -34.3 -419.6